Record 1
MgTaAs2 | PBE | relaxed

Properties
For the raw total energy, the calculation gives -5.6070 eV per atom. The value obtained for the size of the total moment is 0.00 μB per formula unit. As for the formation energy: 0.080 eV per atom.

Lattice parameters (Å, degrees): 2.8798 2.8798 10.1064 90.00 90.00 90.00
Space group P4mm (No. 99)
Symmetry-distinct sites (fractional):
Mg  0.0000  0.0000  0.0000 [1 per cell]
Ta  0.5000  0.5000  0.2330 [1 per cell]
As  0.0000  0.0000  0.4326 [1 per cell]
As  0.5000  0.5000  0.8007 [1 per cell]



Record 2
ThTi2 | PBE | relaxed

Properties
For the raw total energy, the calculation gives -7.5855 eV per atom. The value obtained for the size of the total moment is 1.30 μB per formula unit. As for the formation energy: 0.151 eV per atom.

Lattice parameters (Å, degrees): 8.0833 8.0833 8.0833 90.00 90.00 90.00
Space group Fd-3m (No. 227, origin choice 2)
Symmetry-distinct sites (fractional):
Th  0.1250  0.1250  0.1250 [8 per cell]
Ti  0.0000  0.0000  0.5000 [16 per cell]



Record 3
Tb4DyPd2 | PBE | relaxed

Properties
For the raw total energy, the calculation gives -5.2122 eV per atom. The value obtained for the size of the total moment is 0.00 μB per formula unit. As for the formation energy: -0.425 eV per atom.

Lattice parameters (Å, degrees): 7.8416 6.3895 8.1547 90.00 113.00 90.00
Space group P2_1/m (No. 11)
Symmetry-distinct sites (fractional):
Tb  0.0204  0.2500  0.3908 [2 per cell]
Tb  0.2441  0.7500  0.3478 [2 per cell]
Tb  0.4077  0.0055  0.7720 [4 per cell]
Dy  0.1559  0.2500  0.0280 [2 per cell]
Pd  0.2325  0.7500  0.9913 [2 per cell]
Pd  0.3816  0.2500  0.4174 [2 per cell]



Record 4
Cs2SbOsI6 | PBE | relaxed

Properties
For the raw total energy, the calculation gives -3.0545 eV per atom. Its uncorrected formation energy is -0.418 eV/atom. The value obtained for the size of the total moment is 0.94 μB per formula unit.

Lattice parameters (Å, degrees): 8.3248 8.3248 11.8896 90.00 90.00 90.00
Space group I4/mmm (No. 139)
Symmetry-distinct sites (fractional):
Cs  0.0000  0.5000  0.2500 [4 per cell]
Sb  0.0000  0.0000  0.0000 [2 per cell]
Os  0.0000  0.0000  0.5000 [2 per cell]
I  0.0000  0.0000  0.2675 [4 per cell]
I  0.2341  0.2341  0.5000 [8 per cell]



no.,DOS(E_F) (states/eV per atom)
1,0.7623
2,1.7978
3,1.1948
4,0.9597